The following is a DFT calculation (GGA-PBEsol) of YCrCd after structural relaxation.

## Properties
E_form, kcal/mol of atoms: 12.03
E_tot, eV per atom: -5.57
Total moment, μB per atom: 1.22

Cell lengths 4.661, 4.661, 4.661 Å; angles 60.00, 60.00, 60.00 degrees
Site moments in Bohr magnetons follow the coordinates.
Fractional positions:
Cd 0.500 0.500 0.500  -0.04
Cr 0.250 0.250 0.250  3.46
Y 0.000 0.000 0.000  0.13